A plane-wave DFT calculation with PBE was carried out for crystalline NiOs2W at its relaxed geometry.

CIF file:
```
data_NiOs2W
_chemical_formula_sum 'Ni3 Os6 W3'
_cell_length_a 2.7351
_cell_length_b 2.7351
_cell_length_c 26.2717
_cell_angle_alpha 90.00
_cell_angle_beta 90.00
_cell_angle_gamma 120.00
_space_group_name_H-M_alt 'R -3 m'
_space_group_IT_number 166
_space_group_name_Hall '-R 3 2"'
loop_
_atom_site_label
_atom_site_type_symbol
_atom_site_fract_x
_atom_site_fract_y
_atom_site_fract_z
_atom_site_occupancy
Ni1 Ni 0.0000 0.0000 0.0000 1
Os1 Os 0.0000 0.0000 0.2531 1
W1 W 0.0000 0.0000 0.5000 1
```

Formation energy from the elements in eV/atom: 0.18

---

A plane-wave DFT calculation with PBE was carried out for crystalline NiOs2W at its relaxed geometry.

CIF file:
```
data_NiOs2W
_chemical_formula_sum 'Ni1 Os2 W1'
_cell_length_a 2.772
_cell_length_b 4.532
_cell_length_c 4.561
_cell_angle_alpha 90.00
_cell_angle_beta 90.00
_cell_angle_gamma 90.00
_space_group_name_H-M_alt 'P m m m'
_space_group_IT_number 47
loop_
_space_group_symop_operation_xyz
'x,y,z'
'-x,-y,-z'
'-x,-y,z'
'x,y,-z'
'x,-y,-z'
'-x,y,z'
'-x,y,-z'
'x,-y,z'
loop_
_atom_site_label
_atom_site_type_symbol
_atom_site_fract_x
_atom_site_fract_y
_atom_site_fract_z
_atom_site_occupancy
Ni1 Ni 0.000 0.000 0.000 1
Os1 Os 0.000 0.500 0.500 1
Os2 Os 0.500 0.500 0.000 1
W1 W 0.500 0.000 0.500 1
```

Formation energy from the elements in eV/atom: 0.39

---

Looking at energy for the records above, in order, we have -40.5, -39.6 eV per formula unit.
Looking at offset from the most stable computed form for the records above, in order, we have 0.651, 1.511 eV per formula unit.
Looking at volume for the records above, in order, we have 14.184, 14.323 A^3/atom.